1.
Crystalline NdHo4TmS8 at its relaxed geometry. Source: Alexandria via LeMat-Bulk, functional PBE-GGA.

a b c (Å): 8.0425 8.0425 8.0425
angles (deg): 60.13 60.13 60.13
Closest atoms and distances in Å follow each position.
Fractional coordinates of all 14 atoms:
Nd: 0.0000 0.0000 0.0000  4 S 2.69-2.70
Ho: 0.1266 0.6238 0.6238  6 S 2.73-2.77
Ho: 0.2491 0.2491 0.2491  4 S 2.60-2.61
Ho: 0.6238 0.1266 0.6238  6 S 2.73-2.77
Ho: 0.6238 0.6238 0.1266  6 S 2.73-2.77
Tm: 0.6240 0.6240 0.6240  6 S 2.71-2.74
S: 0.3812 0.3812 0.3812  4 Ho 2.60-2.76
S: 0.3836 0.3836 0.8522  3 Ho 2.61-2.77, 1 Tm 2.74
S: 0.3836 0.8522 0.3836  3 Ho 2.61-2.77, 1 Tm 2.74
S: 0.4100 0.8614 0.8614  1 Nd 2.70, 1 Tm 2.71, 2 Ho 2.73
S: 0.8522 0.3836 0.3836  3 Ho 2.61-2.77, 1 Tm 2.74
S: 0.8614 0.4100 0.8614  1 Nd 2.70, 1 Tm 2.71, 2 Ho 2.73
S: 0.8614 0.8614 0.4100  1 Nd 2.70, 1 Tm 2.71, 2 Ho 2.73
S: 0.8634 0.8634 0.8634  1 Nd 2.69, 3 Ho 2.74

## Properties
Size of the total moment, μB/cell: 0.00
Space-group type: R3m
Uncorrected formation energy, eV per atom: -1.92

2.
Crystalline NdHo2US8 at its relaxed geometry. Source: Alexandria via LeMat-Bulk, functional PBE-GGA.

a b c (Å): 5.9405 8.2721 6.2828
angles (deg): 90.00 90.61 90.00
Closest atoms and distances in Å follow each position.
Fractional coordinates of all 12 atoms:
Nd: 0.0000 0.0000 0.0000  6 S 2.82-2.95
Ho: 0.5000 0.2563 0.5000  6 S 2.70-2.75
Ho: 0.5000 0.7437 0.5000  6 S 2.70-2.75
U: 0.0000 0.5000 0.0000  6 S 2.55-2.58
S: 0.2186 0.0000 0.4235  2 Ho 2.74, 1 S 2.78, 1 Nd 2.95
S: 0.2456 0.5000 0.3409  1 U 2.58, 2 Ho 2.70
S: 0.2498 0.2712 0.8660  1 U 2.55, 1 Ho 2.75, 1 Nd 2.82
S: 0.2498 0.7288 0.8660  1 U 2.55, 1 Ho 2.75, 1 Nd 2.82
S: 0.7502 0.2712 0.1340  1 U 2.55, 1 Ho 2.75, 1 Nd 2.82
S: 0.7502 0.7288 0.1340  1 U 2.55, 1 Ho 2.75, 1 Nd 2.82
S: 0.7544 0.5000 0.6591  1 U 2.58, 2 Ho 2.70
S: 0.7814 0.0000 0.5765  2 Ho 2.74, 1 S 2.78, 1 Nd 2.95

## Properties
Size of the total moment, μB/cell: 0.00
Space-group type: P2/m
Uncorrected formation energy, eV per atom: -1.49

3.
Crystalline Nd2YHoS6 at its relaxed geometry. Source: Alexandria via LeMat-Bulk, functional PBE-GGA.

a b c (Å): 7.4210 7.4210 7.4210
angles (deg): 56.75 56.75 56.75
Closest atoms and distances in Å follow each position.
Fractional coordinates of all 10 atoms:
Nd: 0.0000 0.0000 0.0000  6 S 2.81-2.91
Nd: 0.4997 0.4997 0.4997  6 S 2.82-2.90
Y: 0.2056 0.2056 0.2056  6 S 2.72-2.79
Ho: 0.7052 0.7052 0.7052  6 S 2.70-2.77
S: 0.0861 0.4163 0.8206  1 Ho 2.70, 1 Y 2.79, 2 Nd 2.82-2.91
S: 0.3216 0.9139 0.5883  1 Y 2.72, 1 Ho 2.77, 2 Nd 2.81-2.90
S: 0.4163 0.8206 0.0861  1 Ho 2.70, 1 Y 2.79, 2 Nd 2.82-2.91
S: 0.5883 0.3216 0.9139  1 Y 2.72, 1 Ho 2.77, 2 Nd 2.81-2.90
S: 0.8206 0.0861 0.4163  1 Ho 2.70, 1 Y 2.79, 2 Nd 2.82-2.91
S: 0.9139 0.5883 0.3216  1 Y 2.72, 1 Ho 2.77, 2 Nd 2.81-2.90

## Properties
Size of the total moment, μB/cell: 0.00
Space-group type: R3
Uncorrected formation energy, eV per atom: -2.04

4.
Crystalline Nd4YHo3S8 at its relaxed geometry. Source: Alexandria via LeMat-Bulk, functional PBE-GGA.

a b c (Å): 8.0419 8.0419 8.0419
angles (deg): 58.78 58.78 58.78
Closest atoms and distances in Å follow each position.
Fractional coordinates of all 16 atoms:
Nd: 0.0000 0.0000 0.0000  6 S 2.88
Nd: 0.0000 0.5000 0.5000  6 S 2.89
Nd: 0.5000 0.0000 0.5000  6 S 2.89
Nd: 0.5000 0.5000 0.0000  6 S 2.89
Y: 0.5000 0.5000 0.5000  6 S 2.76
Ho: 0.0000 0.0000 0.5000  6 S 2.75
Ho: 0.0000 0.5000 0.0000  6 S 2.75
Ho: 0.5000 0.0000 0.0000  6 S 2.75
S: 0.2425 0.7449 0.7449  2 Ho 2.75, 1 Y 2.76, 3 Nd 2.88-2.89
S: 0.2438 0.2438 0.2438  3 Ho 2.75, 3 Nd 2.89
S: 0.2551 0.2551 0.7575  2 Ho 2.75, 1 Y 2.76, 3 Nd 2.88-2.89
S: 0.2551 0.7575 0.2551  2 Ho 2.75, 1 Y 2.76, 3 Nd 2.88-2.89
S: 0.7449 0.2425 0.7449  2 Ho 2.75, 1 Y 2.76, 3 Nd 2.88-2.89
S: 0.7449 0.7449 0.2425  2 Ho 2.75, 1 Y 2.76, 3 Nd 2.88-2.89
S: 0.7562 0.7562 0.7562  3 Ho 2.75, 3 Nd 2.89
S: 0.7575 0.2551 0.2551  2 Ho 2.75, 1 Y 2.76, 3 Nd 2.88-2.89

## Properties
Size of the total moment, μB/cell: 0.00
Space-group type: R-3m
Uncorrected formation energy, eV per atom: -2.01

5.
Crystalline NdYHo2S4 at its relaxed geometry. Source: Alexandria via LeMat-Bulk, functional PBE-GGA.

a b c (Å): 6.8315 3.8960 6.8757
angles (deg): 90.00 108.90 90.00
Closest atoms and distances in Å follow each position.
Fractional coordinates of all 8 atoms:
Nd: 0.0000 0.0000 0.0000  6 S 2.85
Y: 0.5000 0.5000 0.0000  6 S 2.80
Ho: 0.0000 0.5000 0.5000  6 S 2.77-2.78
Ho: 0.5000 0.0000 0.5000  6 S 2.72-2.73
S: 0.2531 0.0000 0.7419  3 Ho 2.73-2.77, 2 Y 2.80, 1 Nd 2.85
S: 0.2604 0.5000 0.2628  3 Ho 2.72-2.78, 1 Y 2.80, 2 Nd 2.85
S: 0.7396 0.5000 0.7372  3 Ho 2.72-2.78, 1 Y 2.80, 2 Nd 2.85
S: 0.7469 0.0000 0.2581  3 Ho 2.73-2.77, 2 Y 2.80, 1 Nd 2.85

## Properties
Size of the total moment, μB/cell: 0.00
Space-group type: P2/m
Uncorrected formation energy, eV per atom: -1.99

6.
Crystalline NdY3Ho4S8 at its relaxed geometry. Source: Alexandria via LeMat-Bulk, functional PBE-GGA.

a b c (Å): 7.8531 7.8531 7.8531
angles (deg): 59.86 59.86 59.86
Closest atoms and distances in Å follow each position.
Fractional coordinates of all 16 atoms:
Nd: 0.0000 0.0000 0.0000  6 S 2.84
Y: 0.0000 0.5000 0.5000  6 S 2.79
Y: 0.5000 0.0000 0.5000  6 S 2.79
Y: 0.5000 0.5000 0.0000  6 S 2.79
Ho: 0.0000 0.0000 0.5000  6 S 2.76
Ho: 0.0000 0.5000 0.0000  6 S 2.76
Ho: 0.5000 0.0000 0.0000  6 S 2.76
Ho: 0.5000 0.5000 0.5000  6 S 2.71
S: 0.2488 0.2488 0.2488  3 Ho 2.76, 3 Y 2.79
S: 0.2534 0.7441 0.7441  3 Ho 2.71-2.76, 2 Y 2.79, 1 Nd 2.84
S: 0.2559 0.2559 0.7466  3 Ho 2.71-2.76, 2 Y 2.79, 1 Nd 2.84
S: 0.2559 0.7466 0.2559  3 Ho 2.71-2.76, 2 Y 2.79, 1 Nd 2.84
S: 0.7441 0.2534 0.7441  3 Ho 2.71-2.76, 2 Y 2.79, 1 Nd 2.84
S: 0.7441 0.7441 0.2534  3 Ho 2.71-2.76, 2 Y 2.79, 1 Nd 2.84
S: 0.7466 0.2559 0.2559  3 Ho 2.71-2.76, 2 Y 2.79, 1 Nd 2.84
S: 0.7512 0.7512 0.7512  3 Ho 2.76, 3 Y 2.79

## Properties
Size of the total moment, μB/cell: 0.00
Space-group type: R-3m
Uncorrected formation energy, eV per atom: -1.98

7.
Crystalline Nd4Y3HoS8 at its relaxed geometry. Source: Alexandria via LeMat-Bulk, functional PBE-GGA.

a b c (Å): 8.0481 8.0481 8.0481
angles (deg): 58.94 58.94 58.94
Closest atoms and distances in Å follow each position.
Fractional coordinates of all 16 atoms:
Nd: 0.0000 0.0000 0.0000  6 S 2.90
Nd: 0.0000 0.5000 0.5000  6 S 2.88
Nd: 0.5000 0.0000 0.5000  6 S 2.88
Nd: 0.5000 0.5000 0.0000  6 S 2.88
Y: 0.0000 0.0000 0.5000  6 S 2.76
Y: 0.0000 0.5000 0.0000  6 S 2.76
Y: 0.5000 0.0000 0.0000  6 S 2.76
Ho: 0.5000 0.5000 0.5000  6 S 2.75
S: 0.2448 0.2448 0.2448  3 Y 2.76, 3 Nd 2.88
S: 0.2461 0.7437 0.7437  1 Ho 2.75, 2 Y 2.76, 3 Nd 2.88-2.90
S: 0.2563 0.2563 0.7539  1 Ho 2.75, 2 Y 2.76, 3 Nd 2.88-2.90
S: 0.2563 0.7539 0.2563  1 Ho 2.75, 2 Y 2.76, 3 Nd 2.88-2.90
S: 0.7437 0.2461 0.7437  1 Ho 2.75, 2 Y 2.76, 3 Nd 2.88-2.90
S: 0.7437 0.7437 0.2461  1 Ho 2.75, 2 Y 2.76, 3 Nd 2.88-2.90
S: 0.7539 0.2563 0.2563  1 Ho 2.75, 2 Y 2.76, 3 Nd 2.88-2.90
S: 0.7552 0.7552 0.7552  3 Y 2.76, 3 Nd 2.88

## Properties
Size of the total moment, μB/cell: 0.00
Space-group type: R-3m
Uncorrected formation energy, eV per atom: -2.01

8.
Crystalline Nd3Y3HoS8 at its relaxed geometry. Source: Alexandria via LeMat-Bulk, functional PBE-GGA.

a b c (Å): 7.9999 7.9999 7.9999
angles (deg): 59.36 59.36 59.36
Closest atoms and distances in Å follow each position.
Fractional coordinates of all 15 atoms:
Nd: 0.0000 0.5000 0.5000  6 S 2.87
Nd: 0.5000 0.0000 0.5000  6 S 2.87
Nd: 0.5000 0.5000 0.0000  6 S 2.87
Y: 0.0000 0.0000 0.5000  6 S 2.76
Y: 0.0000 0.5000 0.0000  6 S 2.76
Y: 0.5000 0.0000 0.0000  6 S 2.76
Ho: 0.5000 0.5000 0.5000  6 S 2.76
S: 0.2454 0.2454 0.2454  3 Y 2.76, 3 Nd 2.87
S: 0.2456 0.7455 0.7455  1 Ho 2.76, 2 Y 2.76, 2 Nd 2.87
S: 0.2545 0.2545 0.7544  1 Ho 2.76, 2 Y 2.76, 2 Nd 2.87
S: 0.2545 0.7544 0.2545  1 Ho 2.76, 2 Y 2.76, 2 Nd 2.87
S: 0.7455 0.2456 0.7455  1 Ho 2.76, 2 Y 2.76, 2 Nd 2.87
S: 0.7455 0.7455 0.2456  1 Ho 2.76, 2 Y 2.76, 2 Nd 2.87
S: 0.7544 0.2545 0.2545  1 Ho 2.76, 2 Y 2.76, 2 Nd 2.87
S: 0.7546 0.7546 0.7546  3 Y 2.76, 3 Nd 2.87

## Properties
Size of the total moment, μB/cell: 0.00
Space-group type: R-3m
Uncorrected formation energy, eV per atom: -2.05

9.
Crystalline NdY2HoS6 at its relaxed geometry. Source: Alexandria via LeMat-Bulk, functional PBE-GGA.

a b c (Å): 7.3949 7.3949 7.3949
angles (deg): 56.33 56.33 56.33
Closest atoms and distances in Å follow each position.
Fractional coordinates of all 10 atoms:
Nd: 0.0000 0.0000 0.0000  6 S 2.80-2.91
Y: 0.2926 0.2926 0.2926  6 S 2.73-2.79
Y: 0.7961 0.7961 0.7961  6 S 2.71-2.79
Ho: 0.4945 0.4945 0.4945  6 S 2.72-2.78
S: 0.0919 0.6800 0.4106  2 Y 2.71-2.79, 1 Ho 2.78, 1 Nd 2.80
S: 0.1976 0.5888 0.8933  1 Ho 2.72, 2 Y 2.73-2.79, 1 Nd 2.91
S: 0.4106 0.0919 0.6800  2 Y 2.71-2.79, 1 Ho 2.78, 1 Nd 2.80
S: 0.5888 0.8933 0.1976  1 Ho 2.72, 2 Y 2.73-2.79, 1 Nd 2.91
S: 0.6800 0.4106 0.0919  2 Y 2.71-2.79, 1 Ho 2.78, 1 Nd 2.80
S: 0.8933 0.1976 0.5888  1 Ho 2.72, 2 Y 2.73-2.79, 1 Nd 2.91

## Properties
Size of the total moment, μB/cell: 0.00
Space-group type: R3
Uncorrected formation energy, eV per atom: -2.05

10.
Crystalline NdY2HoS4 at its relaxed geometry. Source: Alexandria via LeMat-Bulk, functional PBE-GGA.

a b c (Å): 6.8488 3.9091 6.8823
angles (deg): 90.00 108.97 90.00
Closest atoms and distances in Å follow each position.
Fractional coordinates of all 8 atoms:
Nd: 0.0000 0.0000 0.0000  6 S 2.85
Y: 0.5000 0.0000 0.5000  6 S 2.74
Y: 0.5000 0.5000 0.0000  6 S 2.81
Ho: 0.0000 0.5000 0.5000  6 S 2.78
S: 0.2521 0.0000 0.7429  3 Y 2.74-2.81, 2 Ho 2.78, 1 Nd 2.85
S: 0.2583 0.5000 0.2608  3 Y 2.74-2.81, 1 Ho 2.78, 2 Nd 2.85
S: 0.7417 0.5000 0.7392  3 Y 2.74-2.81, 1 Ho 2.78, 2 Nd 2.85
S: 0.7479 0.0000 0.2571  3 Y 2.74-2.81, 2 Ho 2.78, 1 Nd 2.85

## Properties
Size of the total moment, μB/cell: 0.00
Space-group type: P2/m
Uncorrected formation energy, eV per atom: -1.99